LiInPb PBE-GGA relaxed; calculated density = 6.9 g/cm³; energy of formation from the pure elements = -0.0992 eV per atom; total energy = -2.89 eV per atom; magnetization = 0.0 μB/cell; SG = No. 8
1.0
3.180 -3.948 0.000
3.180 3.948 0.000
-2.075 0.000 6.280
Li In Pb
2 2 2
direct
0.000 0.000 0.000
0.148 0.148 0.478
0.534 0.920 0.254
0.920 0.534 0.254
0.364 0.761 0.732
0.761 0.364 0.732



Ni2BiTe PBE-GGA relaxed; formation energy without anion corrections = 0.095 eV per atom; calculated density = 9.4 g/cm³; total energy = -4.55 eV per atom; magnetization = 0.0 μB/cell; SG = No. 160
1.0
1.977 1.141 5.927
-1.977 1.141 5.927
0.000 -2.283 5.927
Ni Bi Te
2 1 1
direct
0.000 0.000 0.000
0.161 0.161 0.161
0.412 0.412 0.412
0.591 0.591 0.591



Ho2Si4RuPt3 PBE-GGA relaxed; formation energy without anion corrections = -1.077 eV per atom; calculated density = 11.0 g/cm³; total energy = -6.90 eV per atom; magnetization = 0.0 μB/cell; SG = No. 115
1.0
4.127 0.000 0.000
0.000 4.127 0.000
0.000 0.000 9.984
Ho Si Ru Pt
2 4 1 3
direct
0.000 0.500 0.248
0.500 0.000 0.752
0.000 0.000 0.000
0.000 0.500 0.630
0.500 0.000 0.370
0.500 0.500 0.000
0.000 0.000 0.500
0.000 0.500 0.871
0.500 0.000 0.129
0.500 0.500 0.500



Ta2CrMo PBE-GGA relaxed; calculated density = 13.2 g/cm³; energy of formation from the pure elements = 0.0320 eV per atom; total energy = -11.01 eV per atom; magnetization = 0.0 μB/cell; SG = No. 35
1.0
1.597 -2.300 0.000
1.597 2.300 0.000
0.000 0.000 8.740
Ta Cr Mo
2 1 1
direct
0.000 0.000 0.000
0.500 0.500 0.277
0.500 0.500 0.763
0.000 0.000 0.539



Cs3Se2Cl PBE-GGA relaxed; formation energy without anion corrections = -1.176 eV per atom; calculated density = 3.7 g/cm³; total energy = -3.07 eV per atom; magnetization = 0.0 μB/cell; SG = No. 194
1.0
8.773 0.000 0.000
-4.387 7.598 0.000
0.000 0.000 8.047
Cs Se Cl
6 4 2
direct
0.176 0.352 0.250
0.176 0.824 0.250
0.352 0.176 0.750
0.648 0.824 0.250
0.824 0.176 0.750
0.824 0.648 0.750
0.333 0.667 0.600
0.333 0.667 0.900
0.667 0.333 0.100
0.667 0.333 0.400
0.000 0.000 0.000
0.000 0.000 0.500



UH3Se2 PBE-GGA relaxed; calculated density = 7.1 g/cm³; total energy = -4.96 eV per atom; magnetization = 2.1 μB/cell; SG = No. 194
1.0
3.777 0.000 0.000
-1.888 3.271 0.000
0.000 0.000 15.051
U H Se
2 6 4
direct
0.333 0.667 0.250
0.667 0.333 0.750
0.333 0.667 0.111
0.333 0.667 0.389
0.333 0.667 0.750
0.667 0.333 0.250
0.667 0.333 0.611
0.667 0.333 0.889
0.000 0.000 0.123
0.000 0.000 0.377
0.000 0.000 0.623
0.000 0.000 0.877